1.
Below is a relaxed TbPm2Sc2 crystal, with properties calculated at the PBE level.

Calculated values
Size of the total moment = 0.00 Bohr magnetons per cell
Calculated formation energy = 0.161 eV per atom
E above lowest polymorph = 0 meV/atom
Space group = C2/c (15)

abc: 9.0456 9.0456 5.6279
angles: 108.01 108.01 121.41
Fractional coordinates of all 10 atoms:
Sc (0.3756, 0.6244, 0.2500)
Sc (0.2588, 0.7412, 0.7500)
Sc (0.6244, 0.3756, 0.7500)
Sc (0.7412, 0.2588, 0.2500)
Pm (0.3065, 0.1804, 0.9946)
Pm (0.8196, 0.6935, 0.5054)
Pm (0.6935, 0.8196, 0.0054)
Pm (0.1804, 0.3065, 0.4946)
Tb (0.1588, 0.8412, 0.2500)
Tb (0.8412, 0.1588, 0.7500)

---

2.
Below is a relaxed ZnAsWBr2 crystal, with properties calculated at the PBE level.

Calculated values
Size of the total moment = 0.48 Bohr magnetons per cell
E above lowest polymorph = 0 meV/atom
Raw formation energy = 460 meV/atom
Space group = P4/mmm (123)

abc: 5.1928 5.1928 4.9085
angles: 90.00 90.00 90.00
Fractional coordinates of all 5 atoms:
Br (0.5000, 0.0000, 0.0000)
Br (0.0000, 0.5000, 0.0000)
Zn (0.5000, 0.5000, 0.5000)
W (0.0000, 0.0000, 0.0000)
As (0.0000, 0.0000, 0.5000)

---

3.
Below is a relaxed Er8Te3C3S crystal, with properties calculated at the PBE level.

Calculated values
Size of the total moment = 0.00 Bohr magnetons per cell
Raw formation energy = -978 meV/atom
Space group = R-3m (166)

abc: 7.6333 7.6313 8.0853
angles: 118.14 90.01 119.99
Fractional coordinates of all 15 atoms:
S (0.0000, 0.0000, 0.5000)
Er (0.2476, 0.9522, 0.6999)
Er (0.7046, 0.9522, 0.6999)
Er (0.2475, 0.4951, 0.6999)
Er (0.7292, 0.4584, 0.6876)
Er (0.2708, 0.5416, 0.3124)
Er (0.2954, 0.0478, 0.3001)
Er (0.7524, 0.0478, 0.3001)
Er (0.7525, 0.5049, 0.3001)
C (0.0000, 0.5000, 0.5000)
C (0.5000, 0.0000, 0.5000)
C (0.5000, 0.5000, 0.5000)
Te (0.0000, 0.0000, 0.0000)
Te (0.5000, 0.5000, 0.0000)
Te (0.0000, 0.5000, 0.0000)

---

4.
Below is a relaxed Pm3HoCo2 crystal, with properties calculated at the PBE level.

Calculated values
Size of the total moment = 0.00 Bohr magnetons per cell
Calculated formation energy = -0.098 eV per atom
Space group = C2/m (12)

abc: 3.7869 8.6208 10.0634
angles: 78.11 79.15 77.31
Fractional coordinates of all 12 atoms:
Pm (0.4164, 0.2295, 0.9377)
Pm (0.4172, 0.7189, 0.4468)
Pm (0.5828, 0.2811, 0.5532)
Pm (0.8399, 0.0713, 0.2490)
Pm (0.1601, 0.9287, 0.7510)
Pm (0.5836, 0.7705, 0.0623)
Co (0.7677, 0.4193, 0.0453)
Co (0.7653, 0.9205, 0.5490)
Co (0.2347, 0.0795, 0.4510)
Co (0.2323, 0.5807, 0.9547)
Ho (0.1623, 0.4289, 0.2465)
Ho (0.8377, 0.5711, 0.7535)

---

5.
Below is a relaxed CsLiZrSe3 crystal, with properties calculated at the PBE level.

Calculated values
Size of the total moment = 0.00 Bohr magnetons per cell
Raw formation energy = -1359 meV/atom
Space group = P2_1/m (11)

abc: 4.0454 9.4673 10.1175
angles: 113.01 90.00 90.00
Fractional coordinates of all 12 atoms:
Cs (0.2500, 0.2242, 0.2610)
Cs (0.7500, 0.7758, 0.7390)
Se (0.7500, 0.2140, 0.5630)
Se (0.7500, 0.8611, 0.1309)
Se (0.2500, 0.7860, 0.4370)
Se (0.2500, 0.5258, 0.8560)
Se (0.7500, 0.4742, 0.1440)
Se (0.2500, 0.1389, 0.8691)
Li (0.7500, 0.9225, 0.3967)
Li (0.2500, 0.0775, 0.6033)
Zr (0.2500, 0.6782, 0.1557)
Zr (0.7500, 0.3218, 0.8443)

---

6.
Below is a relaxed VCoSi2 crystal, with properties calculated at the PBE level.

Calculated values
Size of the total moment = 1.53 Bohr magnetons per cell
Raw formation energy = -235 meV/atom
Space group = Fm-3m (225)

abc: 4.0801 4.0801 4.0801
angles: 60.00 60.00 60.00
Fractional coordinates of all 4 atoms:
V (0.0000, 0.0000, 0.0000)
Si (0.2500, 0.2500, 0.2500)
Si (0.7500, 0.7500, 0.7500)
Co (0.5000, 0.5000, 0.5000)

---

7.
Below is a relaxed Pm4Nd2Tm3 crystal, with properties calculated at the PBE level.

Calculated values
Size of the total moment = 0.00 Bohr magnetons per cell
Calculated formation energy = 0.051 eV per atom
E above lowest polymorph = 33 meV/atom
Space group = P3m1 (156)

abc: 3.6181 3.6181 26.7637
angles: 90.00 90.00 120.00
Fractional coordinates of all 9 atoms:
Nd (0.6667, 0.3333, 0.0864)
Nd (0.6667, 0.3333, 0.8736)
Tm (0.0000, 0.0000, 0.3252)
Tm (0.6667, 0.3333, 0.6524)
Tm (0.0000, 0.0000, 0.9816)
Pm (0.0000, 0.0000, 0.5457)
Pm (0.6667, 0.3333, 0.4323)
Pm (0.0000, 0.0000, 0.7589)
Pm (0.6667, 0.3333, 0.2211)

---

8.
Below is a relaxed Ac4Nd5Er2 crystal, with properties calculated at the PBE level.

Calculated values
Size of the total moment = 0.00 Bohr magnetons per cell
Calculated formation energy = 0.177 eV per atom
Space group = C2/m (12)

abc: 3.7424 10.2798 11.8136
angles: 73.55 99.11 90.00
Fractional coordinates of all 11 atoms:
Nd (0.5000, 0.0000, 0.0000)
Nd (0.2134, 0.1502, 0.4267)
Nd (0.7866, 0.8498, 0.5733)
Nd (0.1363, 0.9224, 0.2725)
Nd (0.8637, 0.0776, 0.7275)
Ac (0.0473, 0.3081, 0.0946)
Ac (0.3923, 0.3943, 0.7846)
Ac (0.9527, 0.6919, 0.9054)
Ac (0.6077, 0.6057, 0.2154)
Er (0.7618, 0.3677, 0.5235)
Er (0.2382, 0.6323, 0.4765)

---

9.
Below is a relaxed MoW7 crystal, with properties calculated at the PBE level.

Calculated values
Size of the total moment = 0.00 Bohr magnetons per cell
Calculated formation energy = -0.008 eV per atom
E above lowest polymorph = 0 meV/atom
Space group = R-3m (166)

abc: 6.3651 6.3651 6.3651
angles: 90.00 90.00 90.00
Fractional coordinates of all 16 atoms:
W (0.0001, 0.4999, 0.0001)
W (0.7499, 0.7499, 0.7499)
W (0.2501, 0.7499, 0.2501)
W (0.7499, 0.7499, 0.2501)
W (0.4999, 0.4999, 0.0001)
W (0.0001, 0.0001, 0.0001)
W (0.7499, 0.2501, 0.7499)
W (0.0001, 0.4999, 0.4999)
W (0.0001, 0.0001, 0.4999)
W (0.4999, 0.0001, 0.4999)
W (0.2501, 0.2501, 0.7499)
W (0.7499, 0.2501, 0.2501)
W (0.2501, 0.7499, 0.7499)
W (0.4999, 0.0001, 0.0001)
Mo (0.5000, 0.5000, 0.5000)
Mo (0.2500, 0.2500, 0.2500)

---

10.
Below is a relaxed YMg3Al crystal, with properties calculated at the PBE level.

Calculated values
Size of the total moment = 0.00 Bohr magnetons per cell
Calculated formation energy = 1.216 eV per atom
E above lowest polymorph = 894 meV/atom
Space group = Pm-3m (221)

abc: 5.9143 5.9143 5.9143
angles: 90.00 90.00 90.00
Fractional coordinates of all 5 atoms:
Mg (0.0000, 0.0000, 0.5000)
Mg (0.5000, 0.0000, 0.0000)
Mg (0.0000, 0.5000, 0.0000)
Al (0.5000, 0.5000, 0.5000)
Y (0.0000, 0.0000, 0.0000)

---

11.
Below is a relaxed MgSiTc2 crystal, with properties calculated at the PBE level.

Calculated values
Size of the total moment = 0.00 Bohr magnetons per cell
E above lowest polymorph = 81 meV/atom
Raw formation energy = -36 meV/atom
Space group = Imm2 (44)

abc: 5.1931 5.1931 5.1931
angles: 146.14 131.14 60.77
Fractional coordinates of all 4 atoms:
Si (0.2298, 0.7298, 0.5000)
Tc (0.7638, 0.2638, 0.5000)
Tc (0.0067, 0.0067, 0.0000)
Mg (0.4998, 0.4998, 0.0000)

---

12.
Below is a relaxed SbIrPt2 crystal, with properties calculated at the PBE level.

Calculated values
Size of the total moment = 1.00 Bohr magnetons per cell
Raw formation energy = 278 meV/atom
Space group = R-3m (166)

abc: 9.0227 9.0227 9.0227
angles: 19.17 19.17 19.17
Fractional coordinates of all 4 atoms:
Sb (0.2500, 0.2500, 0.2500)
Pt (0.0018, 0.0018, 0.0018)
Pt (0.4982, 0.4982, 0.4982)
Ir (0.7500, 0.7500, 0.7500)